# KTaAg2 (GGA-PBE, relaxed)
data_KTaAg2
_chemical_formula_sum 'K1 Ta1 Ag2'
_space_group_name_H-M_alt 'P m m 2'
_space_group_IT_number 25
_cell_length_a 2.807
_cell_length_b 4.458
_cell_length_c 7.704
_cell_angle_alpha 90.00
_cell_angle_beta 90.00
_cell_angle_gamma 90.00
loop_
_space_group_symop_operation_xyz
'x,y,z'
'-x,-y,z'
'-x,y,z'
'x,-y,z'
loop_
_atom_site_label
_atom_site_type_symbol
_atom_site_fract_x
_atom_site_fract_y
_atom_site_fract_z
_atom_site_occupancy
K1 K 0.000 0.000 0.000 1
Ta1 Ta 0.500 0.500 0.353 1
Ag1 Ag 0.000 0.000 0.506 1
Ag2 Ag 0.500 0.500 0.707 1
# Crystal system: orthorhombic
# Formation energy from the elements (eV/atom): 0.6877
# Energy above the lowest structure with this stoichiometry (eV per atom): 0.209
# Magnetization (μB/f.u.): 0.0

***

# GaPb3O4 (GGA-PBE, relaxed)
data_GaPb3O4
_chemical_formula_sum 'Ga2 Pb6 O8'
_space_group_name_H-M_alt 'P m n 21'
_space_group_IT_number 31
_cell_length_a 7.893
_cell_length_b 7.554
_cell_length_c 5.315
_cell_angle_alpha 90.00
_cell_angle_beta 90.00
_cell_angle_gamma 90.00
loop_
_space_group_symop_operation_xyz
'x,y,z'
'-x+1/2,-y,z+1/2'
'-x,y,z'
'x+1/2,-y,z+1/2'
loop_
_atom_site_label
_atom_site_type_symbol
_atom_site_fract_x
_atom_site_fract_y
_atom_site_fract_z
_atom_site_occupancy
Ga1 Ga 0.000 0.115 0.000 1
Pb1 Pb 0.000 0.820 0.515 1
Pb2 Pb 0.221 0.332 0.506 1
O1 O 0.000 0.133 0.638 1
O2 O 0.000 0.871 0.065 1
O3 O 0.195 0.228 0.113 1
# Crystal system: orthorhombic
# Uncorrected formation energy (eV/atom): -1.14
# Magnetization (μB/f.u.): 0.0

***

# PPbS2N (GGA-PBE, relaxed)
data_PPbS2N
_chemical_formula_sum 'P1 Pb1 S2 N1'
_space_group_name_H-M_alt 'P 4/m m m'
_space_group_IT_number 123
_space_group_name_Hall '-P 4 2'
_cell_length_a 4.995
_cell_length_b 4.995
_cell_length_c 3.605
_cell_angle_alpha 90.00
_cell_angle_beta 90.00
_cell_angle_gamma 90.00
loop_
_atom_site_label
_atom_site_type_symbol
_atom_site_fract_x
_atom_site_fract_y
_atom_site_fract_z
_atom_site_occupancy
P1 P 0.000 0.000 0.000 1
Pb1 Pb 0.500 0.500 0.000 1
S1 S 0.000 0.500 0.500 1
N1 N 0.000 0.000 0.500 1
# Crystal system: tetragonal
# Energy above the lowest structure with this stoichiometry (eV per atom): 0.416
# Uncorrected formation energy (eV/atom): 0.75
# Magnetization (μB/f.u.): 0.0